Hf3TeRh | PBE | optimized geometry

abc: 5.0083 5.0083 5.0083
angles: 90.00 90.00 90.00
With the nearest neighbours (Å) after each atom.
Space group Pm-3m (No. 221)
Asymmetric unit:
Hf  0.0000  0.0000  0.5000 x3  2 Rh 2.50
Te  0.5000  0.5000  0.5000 x1  12 Hf 3.54
Rh  0.0000  0.0000  0.0000 x1  6 Hf 2.50

Calculated values
Relative energy among the computed polymorphs ... 0.00 eV/f.u.
Raw formation energy ... 9 kJ/mol of formula units
Fermi-level density of states ... 2.93 states/eV per cell